A plane-wave DFT calculation with PBE was carried out for a relaxed Ti2AlSiN crystal.

Summary:
Crystal system = tetragonal
Energy relative to the elements, uncorrected = 2.43 eV/f.u.
E_tot = -6.170 eV/atom

CIF file:
```
data_Ti2AlSiN
_symmetry_space_group_name_H-M 'P 4/m m m'
_symmetry_Int_Tables_number 123
_symmetry_space_group_name_Hall '-P 4 2'
_cell_length_a 4.955
_cell_length_b 4.955
_cell_length_c 3.381
_cell_angle_alpha 90.00
_cell_angle_beta 90.00
_cell_angle_gamma 90.00
loop_
_atom_site_label
_atom_site_type_symbol
_atom_site_fract_x
_atom_site_fract_y
_atom_site_fract_z
Ti1 Ti 0.000 0.500 0.000
Al1 Al 0.000 0.000 0.500
Si1 Si 0.500 0.500 0.000
N1 N 0.500 0.500 0.500
```